(1)
First-principles (PBE) data for a geometry-optimized Sr2C structure, as listed in Alexandria via LeMat-Bulk.

Summary:
- Formation enthalpy at 0 K: 790.1 meV/atom
- Final energy: -30.65 eV/cell
- DOS at the Fermi energy: 3.1 states/eV/f.u.
- Total magnetic moment: 0.8 μB per formula unit
- E above lowest polymorph: 665 meV/atom

a = 4.2275 Å, b = 4.2275 Å, c = 22.4906 Å
α = 90.00°, β = 90.00°, γ = 120.00°
Space group P-3m1 (No. 164)
Symmetry-distinct sites (fractional):
Sr1 0.0000 0.0000 0.1031 x2
Sr2 0.3333 0.6667 0.5589 x2
Sr3 0.3333 0.6667 0.7495 x2
C1 0.0000 0.0000 0.5000 x1
C2 0.3333 0.6667 0.8597 x2



(2)
First-principles (PBE) data for a geometry-optimized Sr3C2 structure, as listed in Alexandria via LeMat-Bulk.

Summary:
- Formation enthalpy at 0 K: 822.0 meV/atom
- Final energy: -58.15 eV/cell
- DOS at the Fermi energy: 4.6 states/eV/f.u.
- Total magnetic moment: 2.3 μB per formula unit
- E above lowest polymorph: 4 meV/atom

a = 4.0156 Å, b = 4.0156 Å, c = 31.4074 Å
α = 90.00°, β = 90.00°, γ = 120.00°
Space group R-3m (No. 166, hexagonal axes)
Symmetry-distinct sites (fractional):
Sr1 0.0000 0.0000 0.0000 x3
Sr2 0.0000 0.0000 0.2341 x6
C1 0.0000 0.0000 0.3920 x6



(3)
First-principles (PBE) data for a geometry-optimized SrC2 structure, as listed in Alexandria via LeMat-Bulk.

Summary:
- Formation enthalpy at 0 K: 1222.9 meV/atom
- Final energy: -32.92 eV/cell
- DOS at the Fermi energy: 1.7 states/eV/f.u.
- Total magnetic moment: 0.1 μB per formula unit

a = 2.8102 Å, b = 2.8102 Å, c = 9.9262 Å
α = 90.00°, β = 90.00°, γ = 120.00°
Space group P6_3/mmc (No. 194)
Symmetry-distinct sites (fractional):
Sr1 0.3333 0.6667 0.2500 x2
C1 0.3333 0.6667 0.5173 x4



(4)
First-principles (PBE) data for a geometry-optimized Sr2C structure, as listed in Alexandria via LeMat-Bulk.

Summary:
- Formation enthalpy at 0 K: 723.1 meV/atom
- Final energy: -20.84 eV/cell
- DOS at the Fermi energy: 2.8 states/eV/f.u.
- Total magnetic moment: 0.0 μB per formula unit
- E above lowest polymorph: 598 meV/atom

a = 3.443 Å, b = 3.443 Å, c = 14.249 Å
α = 90.00°, β = 90.00°, γ = 90.00°
Space group I4/mmm (No. 139)
Symmetry-distinct sites (fractional):
Sr1 0.000 0.000 0.106 x4
C1 0.000 0.000 0.500 x2



(5)
First-principles (PBE) data for a geometry-optimized Sr3C structure, as listed in Alexandria via LeMat-Bulk.

Summary:
- Formation enthalpy at 0 K: 564.0 meV/atom
- Final energy: -24.03 eV/cell
- DOS at the Fermi energy: 3.5 states/eV/f.u.
- Total magnetic moment: 0.0 μB per formula unit
- E above lowest polymorph: 163 meV/atom

a = 3.520 Å, b = 5.160 Å, c = 14.308 Å
α = 90.00°, β = 90.00°, γ = 90.00°
Space group Immm (No. 71)
Symmetry-distinct sites (fractional):
Sr1 0.000 0.000 0.000 x2
Sr2 0.000 0.500 0.147 x4
C1 0.000 0.000 0.500 x2



(6)
First-principles (PBE) data for a geometry-optimized SrC structure, as listed in Alexandria via LeMat-Bulk.

Summary:
- Formation enthalpy at 0 K: 1553.4 meV/atom
- Final energy: -46.79 eV/cell
- DOS at the Fermi energy: 0.1 states/eV/f.u.
- Total magnetic moment: 2.0 μB per formula unit
- E above lowest polymorph: 1520 meV/atom

a = 7.525 Å, b = 7.525 Å, c = 7.525 Å
α = 90.00°, β = 90.00°, γ = 90.00°
Space group Pm-3n (No. 223)
Symmetry-distinct sites (fractional):
Sr1 0.000 0.250 0.500 x6
C1 0.000 0.500 0.250 x6